[1]
Compound: NaV5O8
Source: Alexandria via LeMat-Bulk
Functional: SCAN
Structure: single point on PBEsol structure

Properties
The calculation puts the offset from the most stable computed form at 0.0684 eV per atom. The density of states at the Fermi level is 0.420 states/eV/atom. For the formation energy (no corrections), the calculation gives -237 kJ/mol of atoms.

Unit cell a=10.691 b=2.826 c=9.722 alpha=90.00 beta=102.75 gamma=90.00
Space group C2/m (No. 12)
Symmetry-distinct sites (fractional):
Na 0.000 0.000 0.000 [2 per cell]
V 0.000 0.000 0.500 [2 per cell]
V 0.240 0.000 0.869 [4 per cell]
V 0.242 0.000 0.396 [4 per cell]
O 0.113 0.500 0.430 [4 per cell]
O 0.144 0.500 0.939 [4 per cell]
O 0.147 0.000 0.669 [4 per cell]
O 0.163 0.000 0.193 [4 per cell]


[2]
Compound: NaV2O5
Source: Alexandria via LeMat-Bulk
Functional: SCAN
Structure: single point on PBEsol structure

Properties
The calculation puts the offset from the most stable computed form at 0.0000 eV per atom. For the formation energy (no corrections), the calculation gives -248 kJ/mol of atoms.

Unit cell a=3.580 b=11.268 c=4.835 alpha=90.00 beta=90.00 gamma=90.00
Space group Pmmn (No. 59, origin choice 2)
Symmetry-distinct sites (fractional):
Na 0.250 0.250 0.132 [2 per cell]
V 0.250 0.599 0.395 [4 per cell]
O 0.250 0.071 0.488 [4 per cell]
O 0.250 0.616 0.062 [4 per cell]
O 0.250 0.750 0.521 [2 per cell]


[3]
Compound: Na3VO3
Source: Alexandria via LeMat-Bulk
Functional: SCAN
Structure: single point on PBEsol structure

Properties
The calculation puts the offset from the most stable computed form at 0.0005 eV per atom. The density of states at the Fermi level is 0.013 states/eV/atom. For the formation energy (no corrections), the calculation gives -187 kJ/mol of atoms.

Unit cell a=6.029 b=10.564 c=6.036 alpha=90.00 beta=92.78 gamma=90.00
Space group P2_1/c (No. 14)
Symmetry-distinct sites (fractional):
Na 0.019 0.211 0.014 [4 per cell]
Na 0.155 0.505 0.850 [4 per cell]
Na 0.474 0.220 0.417 [4 per cell]
V 0.329 0.503 0.335 [4 per cell]
O 0.183 0.630 0.193 [4 per cell]
O 0.230 0.131 0.682 [4 per cell]
O 0.394 0.084 0.113 [4 per cell]


[4]
Compound: NaVO2
Source: Alexandria via LeMat-Bulk
Functional: SCAN
Structure: single point on PBEsol structure

Properties
The density of states at the Fermi level is 0.282 states/eV/atom. For the formation energy (no corrections), the calculation gives -233 kJ/mol of atoms.

Unit cell a=2.9538 b=2.9538 c=16.1800 alpha=90.00 beta=90.00 gamma=120.00
Space group R-3m (No. 166, hexagonal axes)
Symmetry-distinct sites (fractional):
Na 0.0000 0.0000 0.0000 [3 per cell]
V 0.0000 0.0000 0.5000 [3 per cell]
O 0.0000 0.0000 0.2346 [6 per cell]


[5]
Compound: Na2VO3
Source: Alexandria via LeMat-Bulk
Functional: SCAN
Structure: single point on PBEsol structure

Properties
For the formation energy (no corrections), the calculation gives -227 kJ/mol of atoms.

Unit cell a=5.229 b=9.157 c=6.092 alpha=90.00 beta=90.00 gamma=90.00
Space group Pnma (No. 62)
Symmetry-distinct sites (fractional):
Na 0.238 0.082 0.110 [8 per cell]
V 0.223 0.750 0.148 [4 per cell]
O 0.003 0.116 0.709 [8 per cell]
O 0.132 0.750 0.879 [4 per cell]


[6]
Compound: NaW10O30
Source: Alexandria via LeMat-Bulk
Functional: SCAN
Structure: single point on PBEsol structure

Properties
The density of states at the Fermi level is 0.073 states/eV/atom. For the formation energy (no corrections), the calculation gives -216 kJ/mol of atoms.

Unit cell a=10.833 b=7.565 c=13.878 alpha=90.00 beta=102.79 gamma=90.00
Space group C2 (No. 5)
Symmetry-distinct sites (fractional):
Na 0.000 0.000 0.000 [2 per cell]
W 0.041 0.241 0.212 [4 per cell]
W 0.061 0.739 0.193 [4 per cell]
W 0.139 0.753 0.610 [4 per cell]
W 0.160 0.253 0.589 [4 per cell]
W 0.241 0.261 0.009 [4 per cell]
O 0.000 0.268 0.500 [2 per cell]
O 0.000 0.732 0.500 [2 per cell]
O 0.038 0.496 0.188 [4 per cell]
O 0.049 0.746 0.704 [4 per cell]
O 0.054 0.252 0.699 [4 per cell]
O 0.060 0.997 0.209 [4 per cell]
O 0.099 0.224 0.902 [4 per cell]
O 0.099 0.776 0.902 [4 per cell]
O 0.139 0.000 0.594 [4 per cell]
O 0.148 0.242 0.102 [4 per cell]
O 0.151 0.758 0.098 [4 per cell]
O 0.162 0.500 0.607 [4 per cell]
O 0.199 0.269 0.300 [4 per cell]
O 0.199 0.728 0.300 [4 per cell]
O 0.234 0.503 0.993 [4 per cell]
O 0.247 0.750 0.502 [4 per cell]